VASP calculation (PBE) on crystalline EuDyZr at its relaxed geometry.

```
6
Lattice="3.428 0.000 0.000 0.000 3.428 0.000 0.000 0.000 15.376" Properties=species:S:1:pos:R:3 pbc="T T T"
Eu 0.000 0.000 0.000
Eu 1.714 1.714 7.688
Dy 0.000 0.000 10.637
Dy 1.714 1.714 2.949
Zr 0.000 0.000 5.120
Zr 1.714 1.714 12.808
```

## Properties
space-group type: No. 107
DFT formation energy: 0.16 eV/atom